Compound: RbCeSe2
Source: Alexandria via LeMat-Bulk
Functional: GGA-PBE
Structure: relaxed

- Uncorrected formation energy: -37.6 kcal/mol of atoms
- V: 34.08 Å³/atom

a b c (Å): 4.3714 4.3714 8.2379
angles (deg): 90.00 90.00 120.00
Space group P-3m1 (No. 164)
Inequivalent atoms, fractional coordinates:
Rb 0.0000 0.0000 0.0000
Ce 0.0000 0.0000 0.5000
Se 0.3333 0.6667 0.6983

Compound: K2MgS
Source: Alexandria via LeMat-Bulk
Functional: GGA-PBE
Structure: relaxed

- Uncorrected formation energy: -10.6 kcal/mol of atoms
- V: 45.64 Å³/atom
- E above lowest polymorph: 0.000 eV per formula unit

a b c (Å): 12.104 12.104 4.984
angles (deg): 90.00 90.00 90.00
Space group I-42d (No. 122)
Inequivalent atoms, fractional coordinates:
K 0.077 0.250 0.125
Mg 0.000 0.000 0.500
S 0.000 0.000 0.000

Compound: ScPaCoOs
Source: Alexandria via LeMat-Bulk
Functional: GGA-PBE
Structure: relaxed

- V: 18.04 Å³/atom
- Formation enthalpy at 0 K: -1.208 eV/f.u.

a b c (Å): 6.609 6.609 6.609
angles (deg): 90.00 90.00 90.00
Space group F-43m (No. 216)
Inequivalent atoms, fractional coordinates:
Sc 0.000 0.000 0.000
Pa 0.000 0.000 0.500
Co 0.250 0.250 0.750
Os 0.250 0.250 0.250

Compound: Nd8ZnGa2
Source: Alexandria via LeMat-Bulk
Functional: GGA-PBE
Structure: relaxed

- V: 29.74 Å³/atom
- Formation enthalpy at 0 K: -2.552 eV/f.u.

a b c (Å): 18.944 5.161 6.913
angles (deg): 90.00 104.51 90.00
Space group C2/m (No. 12)
Inequivalent atoms, fractional coordinates:
Nd 0.019 0.000 0.274
Nd 0.093 0.500 0.970
Nd 0.160 0.500 0.476
Nd 0.205 0.000 0.814
Zn 0.000 0.500 0.500
Ga 0.183 0.000 0.243

Compound: CoRe2Ag2
Source: Alexandria via LeMat-Bulk
Functional: GGA-PBE
Structure: relaxed

- V: 17.77 Å³/atom
- Formation enthalpy at 0 K: 5.236 eV/f.u.
- E above lowest polymorph: 0.000 eV per formula unit

a b c (Å): 3.496 3.496 14.537
angles (deg): 90.00 90.00 90.00
Space group I4/mmm (No. 139)
Inequivalent atoms, fractional coordinates:
Co 0.000 0.000 0.000
Re 0.000 0.500 0.250
Ag 0.000 0.000 0.407

Compound: Co2PtPb
Source: Alexandria via LeMat-Bulk
Functional: GGA-PBE
Structure: relaxed

- V: 18.18 Å³/atom
- Formation enthalpy at 0 K: 1.899 eV/f.u.

a b c (Å): 3.998 3.998 18.199
angles (deg): 90.00 90.00 90.00
Space group I-42d (No. 122)
Inequivalent atoms, fractional coordinates:
Co 0.150 0.250 0.125
Pt 0.000 0.000 0.000
Pb 0.000 0.000 0.500

Compound: V5ZnS8
Source: Alexandria via LeMat-Bulk
Functional: GGA-PBE
Structure: relaxed

- Uncorrected formation energy: -18.9 kcal/mol of atoms
- V: 18.35 Å³/atom

a b c (Å): 10.092 10.092 10.092
angles (deg): 90.00 90.00 90.00
Space group F-43m (No. 216)
Inequivalent atoms, fractional coordinates:
V 0.000 0.000 0.000
V 0.125 0.125 0.375
Zn 0.250 0.250 0.750
S 0.116 0.116 0.616
S 0.132 0.132 0.132

> V of number 4 (Nd8ZnGa2)?

29.74 Å³/atom

> Among the records above, which one has the lowest V?

CoRe2Ag2